This record from Alexandria describes a geometry-optimized Ca3MnCd2O6 structure. The functional is GGA+U.

Cell lengths 5.8796, 5.8796, 5.7438 Å; angles 99.71, 99.71, 120.10 degrees
Fractional coordinates of all 12 atoms:
Ca: 0.0000 0.0000 0.0000
Ca: 0.3330 0.6670 0.0000
Ca: 0.6670 0.3330 0.0000
Mn: 0.5000 0.5000 0.5000
Cd: 0.1667 0.8333 0.5000
Cd: 0.8333 0.1667 0.5000
O: 0.0930 0.4161 0.2500
O: 0.2614 0.2614 0.7466
O: 0.4161 0.0930 0.2500
O: 0.5839 0.9070 0.7500
O: 0.7386 0.7386 0.2534
O: 0.9070 0.5839 0.7500

Output
The uncorrected energy comes out at -5.85 eV/atom. For the total magnetization, the calculation gives 5.0 μB/cell.